Entry from Alexandria: PaH8Rh4 after structural relaxation (PBE-GGA).

As for the calculated density: 8068 kg/m3. The space group is P1. For the spin magnetization, the calculation gives 0.00 μB per cell. The calculated total energy is -5.240 eV/atom.

abc: 5.763 6.402 6.058
angles: 91.66 126.64 121.05
Atoms (fractional coordinates):
H 0.466 0.242 0.853
H 0.336 0.230 0.408
H 0.436 0.081 0.231
H 0.568 0.946 0.772
H 0.803 0.800 0.673
H 0.938 0.755 0.148
H 0.018 0.265 0.892
H 0.426 0.742 0.117
Rh 0.449 0.980 0.964
Rh 0.014 0.007 0.020
Rh 0.429 0.488 0.963
Rh 0.967 0.514 0.004
Pa 0.152 0.451 0.455

Entry from Alexandria: Tb8Te4P3C after structural relaxation (PBE-GGA).

As for the calculated density: 7711 kg/m3. The space group is R-3m. For the spin magnetization, the calculation gives 0.00 μB per cell. The value obtained for the energy relative to the elements, uncorrected is -1385 meV per atom.

abc: 8.157 8.479 8.157
angles: 118.75 120.00 90.00
Atoms (fractional coordinates):
Te 0.000 0.000 0.500
Te 0.000 0.000 0.000
Te 0.500 0.000 0.000
Te 0.500 0.000 0.500
P 0.500 0.500 0.000
P 0.000 0.500 0.500
P 0.500 0.500 0.500
Tb 0.776 0.298 0.021
Tb 0.737 0.712 0.475
Tb 0.776 0.298 0.553
Tb 0.755 0.702 0.979
Tb 0.263 0.288 0.525
Tb 0.245 0.298 0.021
Tb 0.224 0.702 0.979
Tb 0.224 0.702 0.447
C 0.000 0.500 0.000

Entry from Alexandria: Li3La2HfS6 after structural relaxation (PBE-GGA).

As for the calculated density: 4335 kg/m3. The space group is C2/m. For the spin magnetization, the calculation gives 0.00 μB per cell. The value obtained for the energy relative to the elements, uncorrected is -1694 meV per atom.

abc: 6.962 6.962 6.526
angles: 99.18 99.18 121.02
Atoms (fractional coordinates):
Li 0.865 0.135 0.500
Li 0.500 0.500 0.500
Li 0.135 0.865 0.500
S 0.768 0.768 0.244
S 0.081 0.378 0.255
S 0.378 0.081 0.255
S 0.919 0.622 0.745
S 0.622 0.919 0.745
S 0.232 0.232 0.756
Hf 0.000 0.000 0.000
La 0.330 0.670 0.000
La 0.670 0.330 0.000

Entry from Alexandria: CsSbSe2N after structural relaxation (PBE-GGA).

As for the calculated density: 4512 kg/m3. The space group is P4/mmm. For the spin magnetization, the calculation gives 1.26 μB per cell. The value obtained for the energy relative to the elements, uncorrected is 1689 meV per atom.

abc: 5.977 5.977 4.395
angles: 90.00 90.00 90.00
Atoms (fractional coordinates):
Sb 0.500 0.500 0.500
Se 0.500 0.000 0.000
Se 0.000 0.500 0.000
Cs 0.000 0.000 0.000
N 0.000 0.000 0.500

Entry from Alexandria: CeErNi2As2 after structural relaxation (PBE-GGA).

As for the calculated density: 8556 kg/m3. The space group is P-3m1. For the spin magnetization, the calculation gives 0.70 μB per cell. Its energy of formation from the pure elements is -1.037 eV/atom.

abc: 4.068 4.068 7.783
angles: 90.00 90.00 120.00
Atoms (fractional coordinates):
Ce 0.000 0.000 0.000
As 0.667 0.333 0.738
As 0.333 0.667 0.262
Ni 0.667 0.333 0.243
Ni 0.333 0.667 0.757
Er 0.000 0.000 0.500

Entry from Alexandria: Y3AsPt after structural relaxation (PBE-GGA).

As for the calculated density: 5724 kg/m3. The space group is Pm-3m. For the spin magnetization, the calculation gives 0.00 μB per cell. Its energy of formation from the pure elements is -0.493 eV/atom.

abc: 5.380 5.380 5.380
angles: 90.00 90.00 90.00
Atoms (fractional coordinates):
Pt 0.000 0.000 0.000
As 0.500 0.500 0.500
Y 0.000 0.500 0.000
Y 0.000 0.000 0.500
Y 0.500 0.000 0.000

Among the records above, which one has the highest calculated density? CeErNi2As2

What is the spin magnetization in the sixth record? 0.00 μB per cell